VASP calculation (PBE) on a relaxed Ti5IrRu4 crystal.

Summary:
Total moment: 0.00 μB per formula unit
Raw total energy: -9.318 eV/atom
Fermi-level density of states: 4.2 states/eV/cell
Space-group type: No. 123
Energy of formation: -7.74 eV per formula unit

Unit cell a=3.0962 b=3.0962 c=15.3464 alpha=90.00 beta=90.00 gamma=90.00
Atoms (fractional coordinates):
Ti 0.5000 0.5000 0.1017
Ti 0.5000 0.5000 0.6993
Ti 0.5000 0.5000 0.5000
Ti 0.5000 0.5000 0.8983
Ti 0.5000 0.5000 0.3007
Ru 0.0000 0.0000 0.1997
Ru 0.0000 0.0000 0.3999
Ru 0.0000 0.0000 0.8003
Ru 0.0000 0.0000 0.6001
Ir 0.0000 0.0000 0.0000

***

VASP calculation (PBE) on a relaxed Ti5Ir4Ru crystal.

Summary:
Total moment: 0.00 μB per formula unit
Raw total energy: -9.208 eV/atom
Fermi-level density of states: 7.5 states/eV/cell
Space-group type: No. 123
Energy of formation: -7.89 eV per formula unit

Unit cell a=3.1820 b=3.1820 c=14.8668 alpha=90.00 beta=90.00 gamma=90.00
Atoms (fractional coordinates):
Ti 0.5000 0.5000 0.3006
Ti 0.5000 0.5000 0.5000
Ti 0.5000 0.5000 0.0999
Ti 0.5000 0.5000 0.9001
Ti 0.5000 0.5000 0.6994
Ir 0.0000 0.0000 0.2013
Ir 0.0000 0.0000 0.4006
Ir 0.0000 0.0000 0.5994
Ir 0.0000 0.0000 0.7987
Ru 0.0000 0.0000 0.0000

***

VASP calculation (PBE) on a relaxed TiIr6Ru crystal.

Summary:
Total moment: 0.00 μB per formula unit
Raw total energy: -9.127 eV/atom
Fermi-level density of states: 6.4 states/eV/cell
Space-group type: No. 123
Energy of formation: -2.68 eV per formula unit

Unit cell a=3.8756 b=5.4686 c=5.4686 alpha=90.00 beta=90.00 gamma=90.00
Atoms (fractional coordinates):
Ir 0.0000 0.2530 0.7470
Ir 0.0000 0.7470 0.2530
Ir 0.5000 0.5000 0.0000
Ir 0.5000 0.0000 0.5000
Ir 0.0000 0.7470 0.7470
Ir 0.0000 0.2530 0.2530
Ru 0.5000 0.5000 0.5000
Ti 0.5000 0.0000 0.0000

***

VASP calculation (PBE) on a relaxed Ti4IrRu crystal.

Summary:
Total moment: 0.00 μB per formula unit
Raw total energy: -8.572 eV/atom
Fermi-level density of states: 8.7 states/eV/cell
Space-group type: No. 12
Energy of formation: -1.71 eV per formula unit

Unit cell a=4.2893 b=4.2901 c=7.3173 alpha=73.04 beta=72.96 gamma=60.01
Atoms (fractional coordinates):
Ir 0.0000 0.0000 0.0000
Ti 0.3760 0.3760 0.8720
Ti 0.6240 0.6240 0.1280
Ti 0.8741 0.8742 0.3776
Ti 0.1259 0.1258 0.6224
Ru 0.5000 0.5000 0.5000

***

VASP calculation (PBE) on a relaxed Ti6Ir5Ru crystal.

Summary:
Total moment: 0.00 μB per formula unit
Raw total energy: -9.223 eV/atom
Fermi-level density of states: 13.2 states/eV/cell
Space-group type: No. 65
Energy of formation: -9.73 eV per formula unit

Unit cell a=4.2019 b=6.8043 c=6.6484 alpha=90.00 beta=108.39 gamma=90.00
Atoms (fractional coordinates):
Ir 0.3334 0.5000 0.6669
Ir 0.6666 0.5000 0.3331
Ir 0.3326 0.0000 0.6651
Ir 0.0000 0.5000 0.0000
Ir 0.6674 0.0000 0.3349
Ti 0.8335 0.7521 0.6670
Ti 0.5000 0.7554 0.0000
Ti 0.8335 0.2479 0.6670
Ti 0.1665 0.7521 0.3330
Ti 0.5000 0.2446 0.0000
Ti 0.1665 0.2479 0.3330
Ru 0.0000 0.0000 0.0000

***

VASP calculation (PBE) on a relaxed TiIrRu crystal.

Summary:
Energy above the lowest structure with this stoichiometry: 0.000 eV/atom
Total moment: 0.00 μB per formula unit
Raw total energy: -9.159 eV/atom
Fermi-level density of states: 5.4 states/eV/cell
Space-group type: No. 194
Energy of formation: -1.44 eV per formula unit

Unit cell a=4.3313 b=5.3875 c=4.3312 alpha=90.00 beta=120.00 gamma=90.00
Atoms (fractional coordinates):
Ru 0.6667 0.2500 0.8333
Ru 0.3333 0.7500 0.1667
Ir 0.0000 0.5000 0.5000
Ir 0.0000 0.0000 0.5000
Ti 0.3333 0.2500 0.1667
Ti 0.6667 0.7500 0.8333

***

VASP calculation (PBE) on a relaxed Ti3Ir2Ru crystal.

Summary:
Total moment: 0.00 μB per formula unit
Raw total energy: -9.244 eV/atom
Fermi-level density of states: 3.6 states/eV/cell
Space-group type: No. 123
Energy of formation: -4.78 eV per formula unit

Unit cell a=2.9963 b=2.9963 c=9.9757 alpha=90.00 beta=90.00 gamma=90.00
Atoms (fractional coordinates):
Ti 0.0000 0.0000 0.6581
Ti 0.0000 0.0000 0.3419
Ti 0.0000 0.0000 0.0000
Ir 0.5000 0.5000 0.8270
Ir 0.5000 0.5000 0.1730
Ru 0.5000 0.5000 0.5000

***

VASP calculation (PBE) on a relaxed Ti2Ir3Ru3 crystal.

Summary:
Total moment: 0.00 μB per formula unit
Raw total energy: -9.246 eV/atom
Fermi-level density of states: 9.8 states/eV/cell
Space-group type: No. 47
Energy of formation: -3.77 eV per formula unit

Unit cell a=3.8401 b=3.8602 c=7.8013 alpha=90.00 beta=90.00 gamma=90.00
Atoms (fractional coordinates):
Ru 0.0000 0.5000 0.0000
Ru 0.0000 0.5000 0.5000
Ru 0.5000 0.0000 0.5000
Ir 0.5000 0.0000 0.0000
Ir 0.5000 0.5000 0.7497
Ir 0.5000 0.5000 0.2503
Ti 0.0000 0.0000 0.2493
Ti 0.0000 0.0000 0.7507